Record 1
This record from Alexandria describes a relaxed HfRe2P2 crystal. The functional is GGA-PBE.

Properties
Total magnetic moment ... 0.00 Bohr magnetons per cell
Crystal system ... tetragonal
Formation enthalpy at 0 K ... -0.209 eV/atom
Symmetry ... No. 127

Cell lengths 7.043, 7.043, 2.967 Å; angles 90.00, 90.00, 90.00 degrees
Fractional positions:
Hf 0.000 0.000 0.000
Hf 0.500 0.500 0.000
Re 0.142 0.358 0.500
Re 0.358 0.858 0.500
Re 0.642 0.142 0.500
Re 0.858 0.642 0.500
P 0.152 0.652 0.000
P 0.348 0.152 0.000
P 0.652 0.848 0.000
P 0.848 0.348 0.000

Record 2
This record from Alexandria describes a relaxed Mg2BeTl crystal. The functional is GGA-PBE.

Properties
Total magnetic moment ... 0.00 Bohr magnetons per cell
Crystal system ... monoclinic
Formation enthalpy at 0 K ... 0.240 eV/atom
Symmetry ... No. 6

Cell lengths 3.519, 4.280, 5.590 Å; angles 90.00, 108.29, 90.00 degrees
Fractional positions:
Mg 0.000 0.000 0.000
Mg 0.333 0.500 0.669
Be 0.750 0.000 0.495
Tl 0.609 0.500 0.220

Record 3
This record from Alexandria describes a relaxed FeAsP crystal. The functional is GGA-PBE.

Properties
Total magnetic moment ... 0.00 Bohr magnetons per cell
Crystal system ... hexagonal
Formation enthalpy at 0 K ... 0.211 eV/atom
Symmetry ... No. 189

Cell lengths 6.250, 6.250, 3.936 Å; angles 90.00, 90.00, 120.00 degrees
Fractional positions:
Fe 0.000 0.243 0.000
Fe 0.243 0.000 0.000
Fe 0.757 0.757 0.000
As 0.000 0.000 0.500
As 0.333 0.667 0.000
As 0.667 0.333 0.000
P 0.000 0.415 0.500
P 0.415 0.000 0.500
P 0.585 0.585 0.500

Record 4
This record from Alexandria describes a relaxed Ho4Cd5In crystal. The functional is GGA-PBE.

Properties
Total magnetic moment ... 0.00 Bohr magnetons per cell
Crystal system ... monoclinic
Formation enthalpy at 0 K ... -0.323 eV/atom
Symmetry ... No. 12

Cell lengths 8.205, 8.205, 6.452 Å; angles 104.03, 104.03, 36.61 degrees
Fractional positions:
Ho 0.097 0.097 0.377
Ho 0.307 0.307 0.185
Ho 0.693 0.693 0.815
Ho 0.903 0.903 0.623
Cd 0.099 0.099 0.899
Cd 0.294 0.294 0.682
Cd 0.500 0.500 0.000
Cd 0.706 0.706 0.318
Cd 0.901 0.901 0.101
In 0.500 0.500 0.500

Record 5
This record from Alexandria describes a relaxed IrOsO5 crystal. The functional is GGA-PBE.

Properties
Formation energy from raw total energies ... -0.520 eV per atom
Total magnetic moment ... 0.00 Bohr magnetons per cell
Crystal system ... monoclinic
Symmetry ... No. 15

Cell lengths 6.000, 6.000, 6.818 Å; angles 94.24, 94.24, 125.74 degrees
Fractional positions:
Ir 0.054 0.946 0.750
Ir 0.946 0.054 0.250
Os 0.500 0.500 0.000
Os 0.500 0.500 0.500
O 0.101 0.242 0.005
O 0.156 0.430 0.380
O 0.242 0.101 0.505
O 0.423 0.577 0.750
O 0.430 0.156 0.880
O 0.570 0.844 0.120
O 0.577 0.423 0.250
O 0.758 0.899 0.495
O 0.844 0.570 0.620
O 0.899 0.758 0.995

Record 6
This record from Alexandria describes a relaxed K3Bi3SbSe8 crystal. The functional is GGA-PBE.

Properties
Formation energy from raw total energies ... -0.669 eV per atom
Total magnetic moment ... 0.00 Bohr magnetons per cell
Crystal system ... trigonal
Symmetry ... No. 166

Cell lengths 9.338, 9.338, 9.338 Å; angles 53.83, 53.83, 53.83 degrees
Fractional positions:
K 0.000 0.500 0.500
K 0.500 0.000 0.500
K 0.500 0.500 0.000
Bi 0.000 0.000 0.500
Bi 0.000 0.500 0.000
Bi 0.500 0.000 0.000
Sb 0.500 0.500 0.500
Se 0.237 0.237 0.237
Se 0.250 0.727 0.727
Se 0.273 0.273 0.750
Se 0.273 0.750 0.273
Se 0.727 0.250 0.727
Se 0.727 0.727 0.250
Se 0.750 0.273 0.273
Se 0.763 0.763 0.763

Record 7
This record from Alexandria describes a relaxed CeNpSn crystal. The functional is GGA-PBE.

Properties
Total magnetic moment ... 10.81 Bohr magnetons per cell
Crystal system ... orthorhombic
Formation enthalpy at 0 K ... -0.005 eV/atom
Symmetry ... No. 63

Cell lengths 5.236, 5.236, 6.543 Å; angles 90.00, 90.00, 123.34 degrees
Fractional positions:
Ce 0.169 0.831 0.750
Ce 0.831 0.169 0.250
Np 0.186 0.814 0.250
Np 0.814 0.186 0.750
Sn 0.500 0.500 0.000
Sn 0.500 0.500 0.500

Record 8
This record from Alexandria describes a relaxed Cs2PuInI6 crystal. The functional is GGA-PBE.

Properties
Formation energy from raw total energies ... -1.165 eV per atom
Total magnetic moment ... 10.00 Bohr magnetons per cell
Crystal system ... monoclinic
Symmetry ... No. 14

Cell lengths 8.661, 9.261, 15.344 Å; angles 90.00, 124.16, 90.00 degrees
Fractional positions:
Cs 0.223 0.078 0.250
Cs 0.223 0.422 0.750
Cs 0.777 0.578 0.250
Cs 0.777 0.922 0.750
Pu 0.500 0.000 0.000
Pu 0.500 0.500 0.500
In 0.000 0.000 0.500
In 0.000 0.500 0.000
I 0.165 0.184 0.959
I 0.165 0.316 0.459
I 0.278 0.713 0.957
I 0.278 0.787 0.457
I 0.346 0.011 0.762
I 0.346 0.489 0.262
I 0.654 0.511 0.738
I 0.654 0.989 0.238
I 0.722 0.213 0.543
I 0.722 0.287 0.043
I 0.835 0.684 0.541
I 0.835 0.816 0.041

Record 9
This record from Alexandria describes a relaxed Ta3O7F crystal. The functional is GGA-PBE.

Properties
Formation energy from raw total energies ... -2.840 eV per atom
Total magnetic moment ... 0.00 Bohr magnetons per cell
Crystal system ... orthorhombic
Symmetry ... No. 65

Cell lengths 6.202, 6.202, 3.939 Å; angles 90.00, 90.00, 114.68 degrees
Fractional positions:
Ta 0.000 0.000 0.000
Ta 0.316 0.684 0.000
Ta 0.684 0.316 0.000
O 0.049 0.331 0.000
O 0.301 0.699 0.500
O 0.331 0.049 0.000
O 0.500 0.500 0.000
O 0.669 0.951 0.000
O 0.699 0.301 0.500
O 0.951 0.669 0.000
F 0.000 0.000 0.500

Record 10
This record from Alexandria describes a relaxed Tc2OsRu crystal. The functional is GGA-PBE.

Properties
Total magnetic moment ... 0.55 Bohr magnetons per cell
Crystal system ... tetragonal
Formation enthalpy at 0 K ... 0.438 eV/atom
Symmetry ... No. 123

Cell lengths 3.232, 3.232, 5.622 Å; angles 90.00, 90.00, 90.00 degrees
Fractional positions:
Tc 0.000 0.000 0.237
Tc 0.000 0.000 0.763
Os 0.500 0.500 0.500
Ru 0.500 0.500 0.000

Record 11
This record from Alexandria describes a relaxed CoHgSb2Te crystal. The functional is GGA-PBE.

Properties
Formation energy from raw total energies ... 0.303 eV per atom
Total magnetic moment ... 0.00 Bohr magnetons per cell
Crystal system ... tetragonal
Symmetry ... No. 123

Cell lengths 4.825, 4.825, 5.654 Å; angles 90.00, 90.00, 90.00 degrees
Fractional positions:
Co 0.000 0.000 0.000
Hg 0.500 0.500 0.500
Sb 0.000 0.500 0.000
Sb 0.500 0.000 0.000
Te 0.000 0.000 0.500

Record 12
This record from Alexandria describes a relaxed Sm3CdAg4 crystal. The functional is GGA-PBE.

Properties
Total magnetic moment ... 0.00 Bohr magnetons per cell
Crystal system ... trigonal
Formation enthalpy at 0 K ... -0.256 eV/atom
Symmetry ... No. 166

Cell lengths 8.927, 8.927, 8.927 Å; angles 33.45, 33.45, 33.45 degrees
Fractional positions:
Sm 0.000 0.000 0.000
Sm 0.244 0.244 0.244
Sm 0.756 0.756 0.756
Cd 0.500 0.500 0.500
Ag 0.123 0.123 0.123
Ag 0.373 0.373 0.373
Ag 0.627 0.627 0.627
Ag 0.877 0.877 0.877